DFT (PBE) results for crystalline LaMgAl4 at its relaxed geometry.

Unit cell a=5.629 b=5.629 c=5.629 alpha=60.00 beta=60.00 gamma=60.00
Sites, in units of the cell vectors:
Al  0.375  0.375  0.875
Al  0.375  0.875  0.375
Al  0.875  0.375  0.375
Al  0.375  0.375  0.375
Mg  0.000  0.000  0.000
La  0.750  0.750  0.750

Output
For the volume, the calculation gives 21.02 Å³ per atom. The density of states at the Fermi level comes out at 5.772 states/eV/cell. As for the total DFT energy (no corrections): -22.7 eV for the cell shown. Its magnetization is 0.00 μB per cell. The formation enthalpy at 0 K comes out at -0.20 eV per atom. The theoretical density comes out at 3.6 Mg/m³.